A plane-wave DFT calculation with PBE was carried out for PaGe3Ru after structural relaxation.

abc: 6.0590 5.5704 5.7815
angles: 90.00 90.00 90.00
Space group Pmn2_1 (No. 31)
Asymmetric unit:
Pa1 0.0000 0.1504 0.0000 [2 per cell]
Ge1 0.0000 0.9086 0.5479 [2 per cell]
Ge2 0.2350 0.3126 0.4463 [4 per cell]
Ru1 0.0000 0.6084 0.2464 [2 per cell]

Summary:
D(E_F)	1.83	states/eV/f.u.
total magnetic moment	0.00	μB per cell
crystal system	orthorhombic
energy	-0.255	hartree per atom
formation enthalpy at 0 K	-413	meV/atom

---

A plane-wave DFT calculation with PBE was carried out for Fe2Mo after structural relaxation.

abc: 4.6707 4.6707 7.7950
angles: 90.00 90.00 120.00
Space group P6_3/mmc (No. 194)
Asymmetric unit:
Fe1 0.0000 0.0000 0.0000 [2 per cell]
Fe2 0.1705 0.3409 0.2500 [6 per cell]
Mo1 0.3333 0.6667 0.5696 [4 per cell]

Summary:
D(E_F)	2.89	states/eV/f.u.
total magnetic moment	4.58	μB per cell
crystal system	hexagonal
energy	-0.340	hartree per atom
formation enthalpy at 0 K	-10	meV/atom